The following is a GGA-PBE calculation of a geometry-optimized Pm3Hg2Pt3 structure, from the Alexandria database.

Geometry as POSCAR:
```
Pm3Hg2Pt3
1.0
-3.630 4.329 1.934
-1.695 -4.628 7.179
6.653 5.618 -0.089
Hg Pt Pm
4 6 6
direct
0.000 0.333 0.667
0.500 0.333 0.667
0.000 0.667 0.333
0.500 0.667 0.333
0.250 0.364 0.000
0.750 0.636 0.000
0.250 0.636 0.636
0.750 0.000 0.636
0.750 0.364 0.364
0.250 0.000 0.364
0.750 0.294 0.000
0.250 0.000 0.706
0.250 0.294 0.294
0.750 0.706 0.706
0.750 0.000 0.294
0.250 0.706 0.000
```

The following is a GGA-PBE calculation of a geometry-optimized Pm3HgPt structure, from the Alexandria database.

Geometry as POSCAR:
```
Pm3HgPt
1.0
-0.357 7.914 -3.397
-7.045 -0.463 -0.336
0.472 3.672 8.506
Pm Pt Hg
12 4 4
direct
0.713 0.469 0.898
0.787 0.969 0.898
0.116 0.677 0.782
0.017 0.192 0.626
0.213 0.031 0.102
0.287 0.531 0.102
0.384 0.177 0.782
0.483 0.692 0.626
0.517 0.308 0.374
0.616 0.823 0.218
0.884 0.323 0.218
0.983 0.808 0.374
0.449 0.803 0.928
0.949 0.697 0.072
0.051 0.303 0.928
0.551 0.197 0.072
0.190 0.459 0.443
0.690 0.041 0.557
0.810 0.541 0.557
0.310 0.959 0.443
```

Output
For the energy above the lowest structure with this stoichiometry, the calculation gives 0.0 meV per atom.

The following is a GGA-PBE calculation of a geometry-optimized PmHg2Pt structure, from the Alexandria database.

Geometry as POSCAR:
```
PmHg2Pt
1.0
5.111 0.000 0.000
0.000 4.264 0.000
0.000 0.000 4.264
Hg Pt Pm
2 1 1
direct
0.000 0.000 0.500
0.000 0.500 0.000
0.500 0.500 0.500
0.500 0.000 0.000
```

Output
For the energy above the lowest structure with this stoichiometry, the calculation gives 137.2 meV per atom.

Number 1: calculated density 12.0 g/cm3, energy of formation from the pure elements -0.818 eV per atom. Number 2: calculated density 9.8 g/cm3, energy of formation from the pure elements -0.635 eV per atom. Number 3: calculated density 13.2 g/cm3, energy of formation from the pure elements -0.447 eV per atom.